Version i
Here is crystalline DyTm2Zr at its relaxed geometry from Alexandria via LeMat-Bulk. Energies are from PBE.

Values from the calculation:
space group	Fm-3m (225)
volume	114.4	Å³ per cell

Cell: 5.4490 5.4490 5.4490 Å, 60.00 60.00 60.00°
Last column: nearest neighbours and their distance in Å.
Atoms (fractional coordinates):
Dy (0.0000, 0.0000, 0.0000)  8 Tm 3.34
Tm (0.2500, 0.2500, 0.2500)  4 Zr 3.34, 4 Dy 3.34
Tm (0.7500, 0.7500, 0.7500)  4 Zr 3.34, 4 Dy 3.34
Zr (0.5000, 0.5000, 0.5000)  8 Tm 3.34

---

Version ii
Here is crystalline DyTm2Zr at its relaxed geometry from Alexandria via LeMat-Bulk. Energies are from PBE.

Values from the calculation:
space group	R-3m (166)
volume	112.9	Å³ per cell

Cell: 11.3646 11.3646 11.3646 Å, 17.27 17.27 17.27°
Last column: nearest neighbours and their distance in Å.
Atoms (fractional coordinates):
Dy (0.0000, 0.0000, 0.0000)  6 Dy 3.41, 6 Tm 3.56
Tm (0.2451, 0.2451, 0.2451)  3 Zr 3.29, 6 Tm 3.41, 3 Dy 3.56
Tm (0.7549, 0.7549, 0.7549)  3 Zr 3.29, 6 Tm 3.41, 3 Dy 3.56
Zr (0.5000, 0.5000, 0.5000)  6 Tm 3.29, 6 Zr 3.41

---

Version iii
Here is crystalline DyTm2Zr at its relaxed geometry from Alexandria via LeMat-Bulk. Energies are from PBE.

Values from the calculation:
space group	P4/mmm (123)
volume	112.8	Å³ per cell

Cell: 3.4012 3.4012 9.7521 Å, 90.00 90.00 90.00°
Last column: nearest neighbours and their distance in Å.
Atoms (fractional coordinates):
Dy (0.0000, 0.0000, 0.0000)  4 Dy 3.40, 8 Tm 3.55
Tm (0.5000, 0.5000, 0.2681)  4 Zr 3.30, 4 Tm 3.40, 4 Dy 3.55
Tm (0.5000, 0.5000, 0.7319)  4 Zr 3.30, 4 Tm 3.40, 4 Dy 3.55
Zr (0.0000, 0.0000, 0.5000)  8 Tm 3.30, 4 Zr 3.40

---

Version iv
Here is crystalline DyTm2Zr at its relaxed geometry from Alexandria via LeMat-Bulk. Energies are from PBE.

Values from the calculation:
space group	P4/mmm (123)
volume	113.8	Å³ per cell

Cell: 3.9728 3.9728 7.2129 Å, 90.00 90.00 90.00°
Last column: nearest neighbours and their distance in Å.
Atoms (fractional coordinates):
Dy (0.0000, 0.0000, 0.0000)  8 Tm 3.43, 2 Zr 3.61
Tm (0.5000, 0.5000, 0.2740)  4 Zr 3.25, 1 Tm 3.26, 4 Dy 3.43
Tm (0.5000, 0.5000, 0.7260)  4 Zr 3.25, 1 Tm 3.26, 4 Dy 3.43
Zr (0.0000, 0.0000, 0.5000)  8 Tm 3.25, 2 Dy 3.61

---

Tell me which of them is the most stable. Sure, it is version iii.

---

Version i
Here is crystalline DyTm2Zr at its relaxed geometry from Alexandria via LeMat-Bulk. Energies are from PBE.

Values from the calculation:
space group	R3m (160)
volume	113.2	Å³ per cell

Cell: 11.2351 11.2351 11.2351 Å, 17.60 17.60 17.60°
Last column: nearest neighbours and their distance in Å.
Atoms (fractional coordinates):
Dy (0.0000, 0.0000, 0.0000)  6 Dy 3.44, 6 Tm 3.52-3.54
Tm (0.5782, 0.5782, 0.5782)  3 Zr 3.29, 6 Tm 3.44, 3 Dy 3.54
Tm (0.7541, 0.7541, 0.7541)  3 Zr 3.27, 6 Tm 3.44, 3 Dy 3.52
Zr (0.1659, 0.1659, 0.1659)  6 Tm 3.27-3.29, 6 Zr 3.44

---

Version ii
Here is crystalline DyTm2Zr at its relaxed geometry from Alexandria via LeMat-Bulk. Energies are from PBE.

Values from the calculation:
space group	P4/mmm (123)
volume	112.1	Å³ per cell

Cell: 4.8181 4.8181 4.8300 Å, 90.00 90.00 90.00°
Last column: nearest neighbours and their distance in Å.
Atoms (fractional coordinates):
Dy (0.0000, 0.0000, 0.0000)  4 Zr 3.41, 8 Tm 3.41
Tm (0.0000, 0.5000, 0.5000)  4 Tm 3.41, 4 Zr 3.41, 4 Dy 3.41
Tm (0.5000, 0.0000, 0.5000)  4 Tm 3.41, 4 Zr 3.41, 4 Dy 3.41
Zr (0.5000, 0.5000, 0.0000)  4 Dy 3.41, 8 Tm 3.41

---

Tell me which of them is the most stable. Sure, it is version i.

---

Version i
Here is crystalline Dy3V at its relaxed geometry from Alexandria via LeMat-Bulk. Energies are from PBE.

Values from the calculation:
space group	Fm-3m (225)
volume	108.4	Å³ per cell

Cell: 5.3518 5.3518 5.3518 Å, 60.00 60.00 60.00°
Last column: nearest neighbours and their distance in Å.
Atoms (fractional coordinates):
Dy (0.0000, 0.0000, 0.0000)  8 Dy 3.28
Dy (0.2500, 0.2500, 0.2500)  4 Dy 3.28, 4 V 3.28
Dy (0.7500, 0.7500, 0.7500)  4 Dy 3.28, 4 V 3.28
V (0.5000, 0.5000, 0.5000)  8 Dy 3.28

---

Version ii
Here is crystalline Dy3V at its relaxed geometry from Alexandria via LeMat-Bulk. Energies are from PBE.

Values from the calculation:
space group	Imm2 (44)
volume	109.4	Å³ per cell

Cell: 6.4186 6.4186 6.4186 Å, 146.60 60.92 130.63°
Last column: nearest neighbours and their distance in Å.
Atoms (fractional coordinates):
Dy (0.0000, 0.0000, 0.0000)  4 V 3.25-3.26, 4 Dy 3.56-3.57
Dy (0.2881, 0.5006, 0.7875)  2 V 2.99
Dy (0.7131, 0.5006, 0.2125)  2 V 2.99
V (0.4995, 0.9995, 0.5000)  8 Dy 2.99-3.26

---

Tell me which of them is the most stable. Sure, it is version ii.